A relaxed structure of ScOsAu. Source: the Alexandria database, functional PBE.

a b c (Å): 4.3937 4.3937 4.3937
angles (deg): 60.00 60.00 60.00
Fractional coordinates of all 3 atoms:
Au 0.0000 0.0000 0.0000
Os 0.5000 0.5000 0.5000
Sc 0.7500 0.7500 0.7500

- symmetry = No. 216
- theoretical density (Mg/m³) = 12.0
- energy above the most stable polymorph in this dataset (eV per atom) = 0.538
- total magnetic moment (Bohr magnetons per cell) = 0.00
- E (Ry/atom) = -0.473
- calculated formation energy (eV per formula unit) = 1.5